(1)
DFT (PBE-GGA) results for a relaxed structure of BaY3Ir.

Summary:
The spin magnetization is 0.0 μB per cell. As for the calculated volume: 32.970 Å³/atom. The calculation puts the energy above the most stable polymorph in this dataset at 0.158 eV/atom. The formation energy comes out at -19.13 kJ/mol of atoms. The uncorrected energy is -6.233 eV/atom.

Unit cell a=9.1884 b=9.1884 c=8.2175 alpha=109.66 beta=109.66 gamma=30.47
Element x y z (fractional)
Ba (0.0400, 0.0400, 0.2463)
Ba (0.9600, 0.9600, 0.7537)
Y (0.1860, 0.1860, 0.0023)
Y (0.2730, 0.2730, 0.6714)
Y (0.3810, 0.3810, 0.3271)
Y (0.6190, 0.6190, 0.6729)
Y (0.7270, 0.7270, 0.3286)
Y (0.8140, 0.8140, 0.9977)
Ir (0.3941, 0.3941, 0.9995)
Ir (0.6059, 0.6059, 0.0005)

---

(2)
DFT (PBE-GGA) results for a relaxed structure of BaY3Ir.

Summary:
The spin magnetization is 0.0 μB per cell. As for the calculated volume: 41.081 Å³/atom. The calculation puts the energy above the most stable polymorph in this dataset at 0.227 eV/atom. The formation energy comes out at -12.48 kJ/mol of atoms. The uncorrected energy is -6.165 eV/atom.

Unit cell a=10.5130 b=10.5130 c=10.5130 alpha=60.00 beta=60.00 gamma=60.00
Element x y z (fractional)
Ba (0.0000, 0.0000, 0.0000)
Ba (0.0000, 0.0000, 0.5000)
Ba (0.0000, 0.5000, 0.0000)
Ba (0.5000, 0.0000, 0.0000)
Y (0.1966, 0.1966, 0.5534)
Y (0.1966, 0.5534, 0.1966)
Y (0.1966, 0.5534, 0.5534)
Y (0.4466, 0.4466, 0.8034)
Y (0.4466, 0.8034, 0.4466)
Y (0.4466, 0.8034, 0.8034)
Y (0.5534, 0.1966, 0.1966)
Y (0.5534, 0.1966, 0.5534)
Y (0.5534, 0.5534, 0.1966)
Y (0.8034, 0.4466, 0.4466)
Y (0.8034, 0.4466, 0.8034)
Y (0.8034, 0.8034, 0.4466)
Ir (0.0000, 0.5000, 0.5000)
Ir (0.5000, 0.0000, 0.5000)
Ir (0.5000, 0.5000, 0.0000)
Ir (0.5000, 0.5000, 0.5000)

---

(3)
DFT (PBE-GGA) results for a relaxed structure of BaY3Ir.

Summary:
The spin magnetization is 0.0 μB per cell. As for the calculated volume: 32.498 Å³/atom. The calculation puts the energy above the most stable polymorph in this dataset at 0.000 eV/atom. The formation energy comes out at -34.36 kJ/mol of atoms. The uncorrected energy is -6.391 eV/atom.

Unit cell a=9.2662 b=3.8037 c=9.4997 alpha=90.00 beta=103.93 gamma=90.00
Element x y z (fractional)
Ba (0.1984, 0.2500, 0.0283)
Ba (0.8016, 0.7500, 0.9717)
Y (0.0222, 0.7500, 0.6546)
Y (0.3401, 0.7500, 0.4083)
Y (0.4079, 0.7500, 0.7821)
Y (0.5921, 0.2500, 0.2179)
Y (0.6599, 0.2500, 0.5917)
Y (0.9778, 0.2500, 0.3454)
Ir (0.2344, 0.2500, 0.5868)
Ir (0.7656, 0.7500, 0.4132)

---

(4)
DFT (PBE-GGA) results for a relaxed structure of BaY3Ir.

Summary:
The spin magnetization is 0.0 μB per cell. As for the calculated volume: 41.640 Å³/atom. The calculation puts the energy above the most stable polymorph in this dataset at 0.458 eV/atom. The formation energy comes out at 9.88 kJ/mol of atoms. The uncorrected energy is -5.933 eV/atom.

Unit cell a=4.5485 b=4.5485 c=23.2408 alpha=90.00 beta=90.00 gamma=120.00
Element x y z (fractional)
Ba (0.0000, 0.0000, 0.0000)
Ba (0.0000, 0.0000, 0.5000)
Y (0.0000, 0.0000, 0.2500)
Y (0.0000, 0.0000, 0.7500)
Y (0.3333, 0.6667, 0.1342)
Y (0.3333, 0.6667, 0.3658)
Y (0.6667, 0.3333, 0.6342)
Y (0.6667, 0.3333, 0.8658)
Ir (0.3333, 0.6667, 0.2500)
Ir (0.6667, 0.3333, 0.7500)

---

(5)
DFT (PBE-GGA) results for a relaxed structure of Ba2YIr.

Summary:
The spin magnetization is 1.6 μB per cell. As for the calculated volume: 36.708 Å³/atom. The calculation puts the energy above the most stable polymorph in this dataset at 0.494 eV/atom. The formation energy comes out at 24.26 kJ/mol of atoms. The uncorrected energy is -4.541 eV/atom.

Unit cell a=3.7740 b=3.7740 c=10.3091 alpha=90.00 beta=90.00 gamma=90.00
Element x y z (fractional)
Ba (0.0000, 0.0000, 0.1764)
Ba (0.0000, 0.0000, 0.8236)
Y (0.5000, 0.5000, 0.5000)
Ir (0.5000, 0.5000, 0.0000)

---

(6)
DFT (PBE-GGA) results for a relaxed structure of BaZn2Ir.

Summary:
The spin magnetization is 0.0 μB per cell. As for the calculated volume: 26.425 Å³/atom. The formation energy comes out at 7.25 kJ/mol of atoms. The uncorrected energy is -3.258 eV/atom.

Unit cell a=4.6744 b=5.9960 c=7.5425 alpha=90.00 beta=90.00 gamma=90.00
Element x y z (fractional)
Ba (0.0000, 0.0000, 0.0000)
Ba (0.5000, 0.5000, 0.5000)
Zn (0.0000, 0.0000, 0.4616)
Zn (0.0000, 0.5000, 0.1806)
Zn (0.5000, 0.0000, 0.6806)
Zn (0.5000, 0.5000, 0.9616)
Ir (0.0000, 0.5000, 0.8548)
Ir (0.5000, 0.0000, 0.3548)

---

(7)
DFT (PBE-GGA) results for a relaxed structure of Ba2Zn4Ir.

Summary:
The spin magnetization is 0.0 μB per cell. As for the calculated volume: 28.228 Å³/atom. The calculation puts the energy above the most stable polymorph in this dataset at 0.180 eV/atom. The formation energy comes out at -2.66 kJ/mol of atoms. The uncorrected energy is -2.571 eV/atom.

Unit cell a=6.9195 b=6.9152 c=6.0199 alpha=64.24 beta=64.17 gamma=51.59
Element x y z (fractional)
Ba (0.2500, 0.2500, 0.2500)
Ba (0.7500, 0.7500, 0.7500)
Zn (0.2113, 0.7887, 0.2113)
Zn (0.2108, 0.7892, 0.7892)
Zn (0.7892, 0.2108, 0.2108)
Zn (0.7887, 0.2113, 0.7887)
Ir (0.5000, 0.5000, 0.5000)

---

(8)
DFT (PBE-GGA) results for a relaxed structure of BaZn3Ir.

Summary:
The spin magnetization is 0.0 μB per cell. As for the calculated volume: 21.100 Å³/atom. The calculation puts the energy above the most stable polymorph in this dataset at 0.239 eV/atom. The formation energy comes out at -9.72 kJ/mol of atoms. The uncorrected energy is -3.022 eV/atom.

Unit cell a=8.3219 b=8.3219 c=6.7320 alpha=101.68 beta=101.68 gamma=69.03
Element x y z (fractional)
Ba (0.0201, 0.9799, 0.7500)
Ba (0.3579, 0.6421, 0.2500)
Ba (0.6421, 0.3579, 0.7500)
Ba (0.9799, 0.0201, 0.2500)
Zn (0.0186, 0.3667, 0.0975)
Zn (0.0351, 0.3592, 0.5940)
Zn (0.2958, 0.3147, 0.9029)
Zn (0.3147, 0.2958, 0.4029)
Zn (0.3592, 0.0351, 0.0940)
Zn (0.3667, 0.0186, 0.5975)
Zn (0.6333, 0.9814, 0.4025)
Zn (0.6408, 0.9649, 0.9060)
Zn (0.6853, 0.7042, 0.5971)
Zn (0.7042, 0.6853, 0.0971)
Zn (0.9649, 0.6408, 0.4060)
Zn (0.9814, 0.6333, 0.9025)
Ir (0.2332, 0.5734, 0.6914)
Ir (0.4266, 0.7668, 0.8086)
Ir (0.5734, 0.2332, 0.1914)
Ir (0.7668, 0.4266, 0.3086)